1.
VCu2Sb2 | GGA-PBE | optimized geometry

Values from the calculation:
- VASP energy (eV per atom) = -4.82
- energy above the most stable polymorph in this dataset (eV per atom) = 0.048
- magnetization (Bohr magnetons per cell) = 3.9
- uncorrected formation energy (eV/atom) = 0.29

Unit cell a=7.1792 b=7.1792 c=3.6632 alpha=90.00 beta=90.00 gamma=90.00
Closest atoms and distances in Å follow each position.
Fractional coordinates of all 10 atoms:
V  0.0000  0.0000  0.0000  4 Sb 2.68
V  0.5000  0.5000  0.0000  4 Sb 2.68
Cu  0.1285  0.3715  0.5000  1 Cu 2.61, 6 Sb 2.78-2.81
Cu  0.3715  0.8715  0.5000  1 Cu 2.61, 6 Sb 2.78-2.81
Cu  0.6285  0.1285  0.5000  1 Cu 2.61, 6 Sb 2.78-2.81
Cu  0.8715  0.6285  0.5000  1 Cu 2.61, 6 Sb 2.78-2.81
Sb  0.1654  0.6654  0.0000  2 V 2.68, 6 Cu 2.78-2.81
Sb  0.3346  0.1654  0.0000  2 V 2.68, 6 Cu 2.78-2.81
Sb  0.6654  0.8346  0.0000  2 V 2.68, 6 Cu 2.78-2.81
Sb  0.8346  0.3346  0.0000  2 V 2.68, 6 Cu 2.78-2.81


2.
Dy2ErAl9 | GGA-PBE | optimized geometry

Values from the calculation:
- formation enthalpy at 0 K (eV per atom) = -0.42
- VASP energy (eV per atom) = -4.37
- energy above the most stable polymorph in this dataset (eV per atom) = 0.000
- magnetization (Bohr magnetons per cell) = 0.0

Unit cell a=4.2503 b=4.2503 c=12.7500 alpha=90.00 beta=90.00 gamma=90.00
Closest atoms and distances in Å follow each position.
Fractional coordinates of all 12 atoms:
Dy  0.0000  0.0000  0.1672  12 Al 3.01
Dy  0.0000  0.0000  0.8328  12 Al 3.01
Er  0.0000  0.0000  0.5000  12 Al 3.00-3.01
Al  0.0000  0.5000  0.0000  8 Al 3.01, 4 Dy 3.01
Al  0.0000  0.5000  0.3344  2 Er 3.00, 8 Al 3.00-3.01, 2 Dy 3.01
Al  0.0000  0.5000  0.6656  2 Er 3.00, 8 Al 3.00-3.01, 2 Dy 3.01
Al  0.5000  0.0000  0.0000  8 Al 3.01, 4 Dy 3.01
Al  0.5000  0.0000  0.3344  2 Er 3.00, 8 Al 3.00-3.01, 2 Dy 3.01
Al  0.5000  0.0000  0.6656  2 Er 3.00, 8 Al 3.00-3.01, 2 Dy 3.01
Al  0.5000  0.5000  0.1669  4 Dy 3.01, 8 Al 3.01
Al  0.5000  0.5000  0.5000  8 Al 3.00, 4 Er 3.01
Al  0.5000  0.5000  0.8331  4 Dy 3.01, 8 Al 3.01


3.
Be2AlCl | GGA-PBE | optimized geometry

Values from the calculation:
- VASP energy (eV per atom) = -3.29
- energy above the most stable polymorph in this dataset (eV per atom) = 0.000
- magnetization (Bohr magnetons per cell) = 0.0
- uncorrected formation energy (eV/atom) = -0.03

Unit cell a=4.0619 b=4.0619 c=5.4732 alpha=111.43 beta=111.43 gamma=59.99
Closest atoms and distances in Å follow each position.
Fractional coordinates of all 4 atoms:
Be  0.1463  0.1463  0.4380  1 Cl 2.17, 3 Al 2.36-2.37, 3 Be 2.42
Be  0.8537  0.8537  0.5620  1 Cl 2.17, 3 Al 2.36-2.37, 3 Be 2.42
Al  0.5000  0.5000  0.5000  6 Be 2.36-2.37
Cl  0.0000  0.0000  0.0000  2 Be 2.17


4.
Nd5HoEr2Th | GGA-PBE | optimized geometry

Values from the calculation:
- formation enthalpy at 0 K (eV per atom) = 0.14
- VASP energy (eV per atom) = -4.85
- magnetization (Bohr magnetons per cell) = 0.0

Unit cell a=11.1499 b=11.1499 c=10.6073 alpha=90.00 beta=90.00 gamma=151.91
Closest atoms and distances in Å follow each position.
Fractional coordinates of all 18 atoms:
Nd  0.0000  0.0000  0.0000  2 Ho 3.44, 4 Er 3.65, 6 Nd 3.79
Nd  0.0000  0.0000  0.5000  2 Ho 3.44, 4 Er 3.65, 6 Nd 3.79
Nd  0.1252  0.8748  0.7500  1 Th 3.50, 6 Nd 3.79-3.86, 4 Er 3.82
Nd  0.2216  0.7784  0.0568  2 Nd 3.21, 1 Ho 3.31, 3 Th 3.40-3.55
Nd  0.2216  0.7784  0.4432  2 Nd 3.21, 1 Ho 3.31, 3 Th 3.40-3.55
Nd  0.4981  0.5019  0.2500  2 Ho 3.51, 4 Er 3.60-3.61, 6 Nd 3.79-3.80
Nd  0.5019  0.4981  0.7500  2 Ho 3.51, 4 Er 3.60-3.61, 6 Nd 3.79-3.80
Nd  0.7784  0.2216  0.5568  2 Nd 3.21, 1 Ho 3.31, 3 Th 3.40-3.55
Nd  0.7784  0.2216  0.9432  2 Nd 3.21, 1 Ho 3.31, 3 Th 3.40-3.55
Nd  0.8748  0.1252  0.2500  1 Th 3.50, 6 Nd 3.79-3.86, 4 Er 3.82
Ho  0.1016  0.8984  0.2500  6 Nd 3.31-3.51, 2 Th 3.62
Ho  0.8984  0.1016  0.7500  6 Nd 3.31-3.51, 2 Th 3.62
Er  0.3870  0.6130  0.5031  1 Th 3.40, 7 Nd 3.60-3.65, 2 Ho 3.77
Er  0.3870  0.6130  0.9969  1 Th 3.40, 7 Nd 3.60-3.65, 2 Ho 3.77
Er  0.6130  0.3870  0.0031  1 Th 3.40, 7 Nd 3.60-3.65, 2 Ho 3.77
Er  0.6130  0.3870  0.4969  1 Th 3.40, 7 Nd 3.60-3.65, 2 Ho 3.77
Th  0.2871  0.7129  0.7500  2 Er 3.40, 7 Nd 3.40-3.55, 2 Ho 3.62
Th  0.7129  0.2871  0.2500  2 Er 3.40, 7 Nd 3.40-3.55, 2 Ho 3.62


5.
TlTePd2 | GGA-PBE | optimized geometry

Values from the calculation:
- VASP energy (eV per atom) = -4.18
- energy above the most stable polymorph in this dataset (eV per atom) = 0.079
- magnetization (Bohr magnetons per cell) = 0.0
- uncorrected formation energy (eV/atom) = -0.21

Unit cell a=7.2232 b=4.3486 c=11.7818 alpha=90.00 beta=90.00 gamma=90.00
Closest atoms and distances in Å follow each position.
Fractional coordinates of all 16 atoms:
Tl  0.1351  0.2500  0.1000  5 Pd 2.73-2.93
Tl  0.3649  0.7500  0.6000  5 Pd 2.73-2.93
Tl  0.6351  0.2500  0.4000  5 Pd 2.73-2.93
Tl  0.8649  0.7500  0.9000  5 Pd 2.73-2.93
Te  0.0513  0.7500  0.3586  5 Pd 2.66-2.77
Te  0.4487  0.2500  0.8586  5 Pd 2.66-2.77
Te  0.5513  0.7500  0.1414  5 Pd 2.66-2.77
Te  0.9487  0.2500  0.6414  5 Pd 2.66-2.77
Pd  0.0802  0.2500  0.8536  2 Te 2.66-2.67, 3 Tl 2.73-2.93
Pd  0.2071  0.2500  0.4678  3 Te 2.77, 2 Tl 2.91, 2 Pd 2.98
Pd  0.2929  0.7500  0.9678  3 Te 2.77, 2 Tl 2.91, 2 Pd 2.98
Pd  0.4198  0.7500  0.3536  2 Te 2.66-2.67, 3 Tl 2.73-2.93
Pd  0.5802  0.2500  0.6464  2 Te 2.66-2.67, 3 Tl 2.73-2.93
Pd  0.7071  0.2500  0.0322  3 Te 2.77, 2 Tl 2.91, 2 Pd 2.98
Pd  0.7929  0.7500  0.5322  3 Te 2.77, 2 Tl 2.91, 2 Pd 2.98
Pd  0.9198  0.7500  0.1464  2 Te 2.66-2.67, 3 Tl 2.73-2.93


6.
CaAgRh | GGA-PBE | optimized geometry

Values from the calculation:
- formation enthalpy at 0 K (eV per atom) = 0.19
- VASP energy (eV per atom) = -3.88
- energy above the most stable polymorph in this dataset (eV per atom) = 0.498
- magnetization (Bohr magnetons per cell) = 0.0

Unit cell a=3.1619 b=3.1619 c=6.9370 alpha=90.00 beta=90.00 gamma=120.00
Closest atoms and distances in Å follow each position.
Fractional coordinates of all 3 atoms:
Ca  0.0000  0.0000  0.0000  3 Rh 2.78
Ag  0.3333  0.6667  0.6226  3 Rh 2.87, 6 Ag 3.16, 3 Ca 3.19
Rh  0.6667  0.3333  0.3029  3 Ca 2.78, 3 Ag 2.87


7.
CrTeI2 | GGA-PBE | optimized geometry

Values from the calculation:
- VASP energy (eV per atom) = -3.34
- energy above the most stable polymorph in this dataset (eV per atom) = 0.000
- magnetization (Bohr magnetons per cell) = 2.9
- uncorrected formation energy (eV/atom) = 0.63

Unit cell a=5.5042 b=5.5042 c=5.5042 alpha=60.00 beta=60.00 gamma=60.00
Closest atoms and distances in Å follow each position.
Fractional coordinates of all 4 atoms:
Cr  0.0000  0.0000  0.0000  8 I 3.37
Te  0.5000  0.5000  0.5000  8 I 3.37
I  0.2500  0.2500  0.2500  4 Cr 3.37, 4 Te 3.37
I  0.7500  0.7500  0.7500  4 Cr 3.37, 4 Te 3.37


8.
Ho3Ag4SbSe8 | GGA-PBE | optimized geometry

Values from the calculation:
- VASP energy (eV per atom) = -4.48
- magnetization (Bohr magnetons per cell) = 0.0
- uncorrected formation energy (eV/atom) = -0.91

Unit cell a=8.0707 b=8.0707 c=8.0810 alpha=118.05 beta=118.05 gamma=62.00
Closest atoms and distances in Å follow each position.
Fractional coordinates of all 16 atoms:
Ho  0.0000  0.0000  0.0000  6 Se 2.87-2.88
Ho  0.0000  0.5000  0.5000  6 Se 2.87-2.88
Ho  0.5000  0.0000  0.5000  6 Se 2.87-2.88
Ag  0.0000  0.0000  0.5000  6 Se 2.90-2.91
Ag  0.0000  0.5000  0.0000  6 Se 2.91-2.93
Ag  0.5000  0.0000  0.0000  6 Se 2.91-2.93
Ag  0.5000  0.5000  0.5000  6 Se 2.91-2.92
Sb  0.5000  0.5000  0.0000  6 Se 2.89
Se  0.2476  0.2476  0.2530  3 Ho 2.87, 3 Ag 2.92-2.93
Se  0.2483  0.7497  0.7510  2 Ho 2.88, 1 Sb 2.89, 3 Ag 2.91
Se  0.2503  0.2503  0.7477  2 Ho 2.88, 1 Sb 2.89, 3 Ag 2.90-2.91
Se  0.2503  0.7517  0.2490  2 Ho 2.88, 1 Sb 2.89, 3 Ag 2.91
Se  0.7497  0.2483  0.7510  2 Ho 2.88, 1 Sb 2.89, 3 Ag 2.91
Se  0.7497  0.7497  0.2523  2 Ho 2.88, 1 Sb 2.89, 3 Ag 2.90-2.91
Se  0.7517  0.2503  0.2490  2 Ho 2.88, 1 Sb 2.89, 3 Ag 2.91
Se  0.7524  0.7524  0.7470  3 Ho 2.87, 3 Ag 2.92-2.93


| no. | N(E_F) (states/eV per atom) |
| --- | --- |
| 1 | 0.61 |
| 2 | 0.42 |
| 3 | 0.09 |
| 4 | 1.44 |
| 5 | 0.50 |
| 6 | 0.99 |
| 7 | 1.28 |
| 8 | 0.01 |